{
  "formula": "Cd3Sn5I12",
  "functional": "PBE",
  "state": "relaxed",
  "lattice": [[-9.7916, 9.7916, 9.7916], [9.7916, -9.7916, 9.7916], [9.7916, 9.7916, -9.7916]],
  "species": ["Cd", "Cd", "Cd", "Cd", "Cd", "Cd", "Cd", "Cd", "Cd", "Cd", "Cd", "Cd", "Sn", "Sn", "Sn", "Sn", "Sn", "Sn", "Sn", "Sn", "Sn", "Sn", "Sn", "Sn", "Sn", "Sn", "Sn", "Sn", "Sn", "Sn", "Sn", "Sn", "I", "I", "I", "I", "I", "I", "I", "I", "I", "I", "I", "I", "I", "I", "I", "I", "I", "I", "I", "I", "I", "I", "I", "I", "I", "I", "I", "I", "I", "I", "I", "I", "I", "I", "I", "I", "I", "I", "I", "I", "I", "I", "I", "I", "I", "I", "I", "I"],
  "frac_coords": [[0.1250, 0.2500, 0.3750], [0.1250, 0.3750, 0.7500], [0.2500, 0.3750, 0.1250], [0.2500, 0.8750, 0.6250], [0.3750, 0.1250, 0.2500], [0.3750, 0.7500, 0.1250], [0.6250, 0.2500, 0.8750], [0.6250, 0.8750, 0.7500], [0.7500, 0.1250, 0.3750], [0.7500, 0.6250, 0.8750], [0.8750, 0.6250, 0.2500], [0.8750, 0.7500, 0.6250], [0.0000, 0.0000, 0.0000], [0.0000, 0.0000, 0.5000], [0.0000, 0.5000, 0.0000], [0.0000, 0.5000, 0.5000], [0.1250, 0.7500, 0.8750], [0.1250, 0.8750, 0.2500], [0.2500, 0.1250, 0.8750], [0.2500, 0.6250, 0.3750], [0.3750, 0.2500, 0.6250], [0.3750, 0.6250, 0.7500], [0.5000, 0.0000, 0.0000], [0.5000, 0.0000, 0.5000], [0.5000, 0.5000, 0.0000], [0.5000, 0.5000, 0.5000], [0.6250, 0.3750, 0.2500], [0.6250, 0.7500, 0.3750], [0.7500, 0.3750, 0.6250], [0.7500, 0.8750, 0.1250], [0.8750, 0.1250, 0.7500], [0.8750, 0.2500, 0.1250], [0.0393, 0.2145, 0.1186], [0.0393, 0.3247, 0.9207], [0.0793, 0.6186, 0.4040], [0.0793, 0.9607, 0.6753], [0.0960, 0.7145, 0.6753], [0.0960, 0.8814, 0.4207], [0.1186, 0.0393, 0.2145], [0.1186, 0.5793, 0.9040], [0.1753, 0.2145, 0.5960], [0.1753, 0.4607, 0.5793], [0.2145, 0.1186, 0.0393], [0.2145, 0.5960, 0.1753], [0.2855, 0.3247, 0.9040], [0.2855, 0.4607, 0.3814], [0.3247, 0.9040, 0.2855], [0.3247, 0.9207, 0.0393], [0.3814, 0.2855, 0.4607], [0.3814, 0.5960, 0.9207], [0.4040, 0.0793, 0.6186], [0.4040, 0.8247, 0.7855], [0.4207, 0.0960, 0.8814], [0.4207, 0.8247, 0.5393], [0.4607, 0.3814, 0.2855], [0.4607, 0.5793, 0.1753], [0.5393, 0.4207, 0.8247], [0.5393, 0.6186, 0.7145], [0.5793, 0.1753, 0.4607], [0.5793, 0.9040, 0.1186], [0.5960, 0.1753, 0.2145], [0.5960, 0.9207, 0.3814], [0.6186, 0.4040, 0.0793], [0.6186, 0.7145, 0.5393], [0.6753, 0.0793, 0.9607], [0.6753, 0.0960, 0.7145], [0.7145, 0.5393, 0.6186], [0.7145, 0.6753, 0.0960], [0.7855, 0.4040, 0.8247], [0.7855, 0.8814, 0.9607], [0.8247, 0.5393, 0.4207], [0.8247, 0.7855, 0.4040], [0.8814, 0.4207, 0.0960], [0.8814, 0.9607, 0.7855], [0.9040, 0.1186, 0.5793], [0.9040, 0.2855, 0.3247], [0.9207, 0.0393, 0.3247], [0.9207, 0.3814, 0.5960], [0.9607, 0.6753, 0.0793], [0.9607, 0.7855, 0.8814]],
  "e_tot_ev_per_atom": -2.3070,
  "dos_at_fermi_per_ev_cell": 63.70,
  "magnetic_moment_mub_per_cell": 3.38
}

=====

{
  "formula": "Cd2SnI",
  "functional": "PBE",
  "state": "relaxed",
  "lattice": [[-3.4918, 3.4918, 6.5742], [3.4918, -3.4918, 6.5742], [3.4918, 3.4918, -6.5742]],
  "species": ["Cd", "Cd", "Cd", "Cd", "Sn", "Sn", "I", "I"],
  "frac_coords": [[0.0887, 0.6250, 0.9637], [0.3750, 0.3387, 0.4637], [0.6613, 0.1250, 0.0363], [0.8750, 0.9113, 0.5363], [0.0000, 0.0000, 0.0000], [0.7500, 0.2500, 0.5000], [0.2500, 0.7500, 0.5000], [0.5000, 0.5000, 0.0000]],
  "e_tot_ev_per_atom": -1.8594,
  "dos_at_fermi_per_ev_cell": 8.16,
  "magnetic_moment_mub_per_cell": 0.00
}

=====

{
  "formula": "CdSn2I2",
  "functional": "PBE",
  "state": "relaxed",
  "lattice": [[7.7519, 0.0000, 0.0000], [0.0000, 7.7519, 0.0000], [0.0000, 0.0000, 5.9450]],
  "species": ["Cd", "Cd", "Sn", "Sn", "Sn", "Sn", "I", "I", "I", "I"],
  "frac_coords": [[0.0000, 0.0000, 0.0000], [0.5000, 0.5000, 0.0000], [0.1394, 0.3606, 0.0000], [0.3606, 0.8606, 0.0000], [0.6394, 0.1394, 0.0000], [0.8606, 0.6394, 0.0000], [0.2021, 0.2979, 0.5000], [0.2979, 0.7979, 0.5000], [0.7021, 0.2021, 0.5000], [0.7979, 0.7021, 0.5000]],
  "e_tot_ev_per_atom": -2.5000,
  "dos_at_fermi_per_ev_cell": 2.61,
  "magnetic_moment_mub_per_cell": 0.00
}

=====

{
  "formula": "Cd2SnI6",
  "functional": "PBE",
  "state": "relaxed",
  "lattice": [[4.5512, 0.0000, 0.0000], [2.2725, 8.3488, 0.0000], [2.2582, 3.4446, 11.5095]],
  "species": ["Cd", "Cd", "Sn", "I", "I", "I", "I", "I", "I"],
  "frac_coords": [[0.2079, 0.3128, 0.2759], [0.7921, 0.6872, 0.7241], [0.0000, 0.0000, 0.0000], [0.1415, 0.6153, 0.0996], [0.3432, 0.7332, 0.5755], [0.3960, 0.0210, 0.1887], [0.6040, 0.9790, 0.8113], [0.6568, 0.2668, 0.4245], [0.8585, 0.3847, 0.9004]],
  "e_tot_ev_per_atom": -2.1919,
  "dos_at_fermi_per_ev_cell": 0.00,
  "magnetic_moment_mub_per_cell": 0.00
}

=====

{
  "formula": "CdSnI6",
  "functional": "PBE",
  "state": "relaxed",
  "lattice": [[3.7651, -6.6900, 0.0000], [3.7651, 6.6900, 0.0000], [-2.7607, 0.0000, 6.9791]],
  "species": ["Cd", "Sn", "I", "I", "I", "I", "I", "I"],
  "frac_coords": [[0.0000, 0.0000, 0.0000], [0.5000, 0.5000, 0.5000], [0.0944, 0.4017, 0.2465], [0.2718, 0.2718, 0.7280], [0.4017, 0.0944, 0.2465], [0.5983, 0.9056, 0.7535], [0.7282, 0.7282, 0.2720], [0.9056, 0.5983, 0.7535]],
  "e_tot_ev_per_atom": -2.0942,
  "dos_at_fermi_per_ev_cell": 0.87,
  "magnetic_moment_mub_per_cell": 0.00
}

=====

{
  "formula": "Cd2SnI",
  "functional": "PBE",
  "state": "relaxed",
  "lattice": [[2.1512, 1.2420, 8.9334], [-2.1512, 1.2420, 8.9334], [0.0000, -2.4840, 8.9334]],
  "species": ["Cd", "Cd", "Sn", "I"],
  "frac_coords": [[0.1054, 0.1054, 0.1054], [0.8946, 0.8946, 0.8946], [0.5000, 0.5000, 0.5000], [0.0000, 0.0000, 0.0000]],
  "e_tot_ev_per_atom": -1.8828,
  "dos_at_fermi_per_ev_cell": 0.80,
  "magnetic_moment_mub_per_cell": 0.00
}